VASP calculation (PBE) on a geometry-optimized Ac2PuThAs4 structure.

```
Ac2PuThAs4
1.0
4.370 0.000 0.000
0.000 7.556 0.125
0.000 -2.647 7.134
Ac Pu Th As
2 1 1 4
direct
0.500 0.000 0.500
0.000 0.500 0.500
0.000 0.000 0.000
0.500 0.500 0.000
0.500 0.241 0.227
0.500 0.759 0.773
0.000 0.256 0.770
0.000 0.744 0.230
```

## Properties
Space group: P2/m (10)
Total magnetic moment, μB/atom: 0.671
Total energy, Ry/atom: -0.5445
Energy of formation, meV/atom: -1337